# LuTlCuRe, relaxed, DFT PBE
# Theoretical density ... 13.758 g/cm3
# Energy relative to the lowest polymorph listed for this composition ... 0.61 eV per formula unit
# Calculated volume ... 303.72 Å³ per cell
data_LuTlCuRe
_chemical_formula_sum 'Lu4 Tl4 Cu4 Re4'
_cell_length_a 6.722
_cell_length_b 6.722
_cell_length_c 6.722
_cell_angle_alpha 90.00
_cell_angle_beta 90.00
_cell_angle_gamma 90.00
_symmetry_space_group_name_H-M 'F -4 3 m'
_symmetry_Int_Tables_number 216
_symmetry_space_group_name_Hall 'F -4 2 3'
loop_
_atom_site_label
_atom_site_type_symbol
_atom_site_fract_x
_atom_site_fract_y
_atom_site_fract_z
_atom_site_occupancy
Lu1 Lu 0.000 0.000 0.000 1
Tl1 Tl 0.250 0.250 0.250 1
Cu1 Cu 0.000 0.000 0.500 1
Re1 Re 0.250 0.250 0.750 1